No. 1
DFT (PBE-GGA) results for a geometry-optimized Er2Fe2Ni15 structure.

Geometry as CIF:
```
data_Er2Fe2Ni15
_cell_length_a 8.2647
_cell_length_b 8.2647
_cell_length_c 12.1379
_cell_angle_alpha 90.00
_cell_angle_beta 90.00
_cell_angle_gamma 120.00
_symmetry_space_group_name_H-M 'R -3 m'
_symmetry_Int_Tables_number 166
_symmetry_space_group_name_Hall '-R 3 2"'
loop_
_atom_site_label
_atom_site_type_symbol
_atom_site_fract_x
_atom_site_fract_y
_atom_site_fract_z
Er1 Er 0.0000 0.0000 0.1575
Fe1 Fe 0.0000 0.0000 0.4054
Ni1 Ni 0.0000 0.2978 0.5000
Ni2 Ni 0.0000 0.5000 0.0000
Ni3 Ni 0.0012 0.5006 0.3451
```

Calculated values
ΔE_f in kcal/mol of atoms: -5.002
Final energy in eV/atom: -6.15
Magnetization in μB per atom: 0.616

***

No. 2
DFT (PBE-GGA) results for a geometry-optimized AlReNi structure.

Geometry as CIF:
```
data_AlReNi
_cell_length_a 2.979
_cell_length_b 2.979
_cell_length_c 8.932
_cell_angle_alpha 90.00
_cell_angle_beta 90.00
_cell_angle_gamma 90.00
_symmetry_space_group_name_H-M 'P 4/n m m'
_symmetry_Int_Tables_number 129
loop_
_symmetry_equiv_pos_as_xyz
'x,y,z'
'-x,-y,-z'
'-y+1/2,x,z'
'y+1/2,-x,-z'
'-x+1/2,-y+1/2,z'
'x+1/2,y+1/2,-z'
'y,-x+1/2,z'
'-y,x+1/2,-z'
'x+1/2,-y,-z'
'-x+1/2,y,z'
'-y,-x,-z'
'y,x,z'
'-x,y+1/2,-z'
'x,-y+1/2,z'
'y+1/2,x+1/2,-z'
'-y+1/2,-x+1/2,z'
loop_
_atom_site_label
_atom_site_type_symbol
_atom_site_fract_x
_atom_site_fract_y
_atom_site_fract_z
Al1 Al 0.250 0.250 0.221
Re1 Re 0.250 0.250 0.587
Ni1 Ni 0.250 0.250 0.918
```

Calculated values
ΔE_f in kcal/mol of atoms: -7.834
Energy above the most stable polymorph in this dataset in meV/atom: 0
Final energy in eV/atom: -7.66
Magnetization in μB per atom: 0.000

***

No. 3
DFT (PBE-GGA) results for a geometry-optimized Tl4HgI structure.

Geometry as CIF:
```
data_Tl4HgI
_cell_length_a 9.405
_cell_length_b 9.405
_cell_length_c 9.405
_cell_angle_alpha 90.00
_cell_angle_beta 90.00
_cell_angle_gamma 90.00
_symmetry_space_group_name_H-M 'F -4 3 m'
_symmetry_Int_Tables_number 216
_symmetry_space_group_name_Hall 'F -4 2 3'
loop_
_atom_site_label
_atom_site_type_symbol
_atom_site_fract_x
_atom_site_fract_y
_atom_site_fract_z
Tl1 Tl 0.125 0.125 0.125
Hg1 Hg 0.000 0.000 0.500
I1 I 0.250 0.250 0.750
```

Calculated values
Energy relative to the elements, uncorrected in eV/atom: -0.0413
Final energy in eV/atom: -1.93
Magnetization in μB per atom: 0.000